# 1
VASP calculation (PBE-GGA) on an optimized crystal structure of Li5Zn2Cd2Ag. Values from VASP.

```
&SYSTEM
  ibrav = 0, nat = 20, ntyp = 4
/
ATOMIC_SPECIES
Li 6.94 Li.upf
Zn 65.41 Zn.upf
Cd 112.41 Cd.upf
Ag 107.87 Ag.upf
ATOMIC_POSITIONS crystal
Li 0.500 0.571 0.692
Li 0.500 0.429 0.308
Zn 0.000 0.630 0.870
Zn 0.000 0.870 0.370
Li 0.500 0.692 0.429
Li 0.500 0.500 0.000
Cd 0.000 0.831 0.669
Zn 0.000 0.130 0.630
Cd 0.000 0.669 0.169
Li 0.500 0.808 0.929
Li 0.500 0.192 0.071
Li 0.500 0.929 0.192
Ag 0.000 0.000 0.000
Cd 0.000 0.169 0.331
Zn 0.000 0.370 0.130
Li 0.500 0.000 0.500
Li 0.500 0.308 0.571
Cd 0.000 0.331 0.831
Li 0.500 0.071 0.808
Ag 0.000 0.500 0.500
CELL_PARAMETERS angstrom
3.491 0.000 0.000
0.000 9.958 0.000
0.000 0.000 9.958
```

Summary:
* energy of formation: -0.1160 eV/atom
* D(E_F): 0.47 states/eV/atom

***

# 2
VASP calculation (PBE-GGA) on an optimized crystal structure of LiZnCd2Ag2. Values from VASP.

```
&SYSTEM
  ibrav = 0, nat = 12, ntyp = 4
/
ATOMIC_SPECIES
Ag 107.87 Ag.upf
Zn 65.41 Zn.upf
Cd 112.41 Cd.upf
Li 6.94 Li.upf
ATOMIC_POSITIONS crystal
Ag 0.500 0.132 0.355
Zn 0.500 0.149 0.658
Cd 0.500 0.624 0.994
Ag 0.000 0.371 0.817
Li 0.000 0.391 0.505
Cd 0.500 0.124 0.006
Cd 0.000 0.878 0.811
Ag 0.500 0.632 0.645
Zn 0.500 0.649 0.342
Li 0.000 0.891 0.495
Cd 0.000 0.378 0.189
Ag 0.000 0.871 0.183
CELL_PARAMETERS angstrom
-1.629 0.942 3.664
4.943 -1.882 2.681
3.432 8.190 -0.579
```

Summary:
* energy of formation: -0.1033 eV/atom
* D(E_F): 0.22 states/eV/atom

***

# 3
VASP calculation (PBE-GGA) on an optimized crystal structure of LiZnCdAg3. Values from VASP.

```
&SYSTEM
  ibrav = 0, nat = 12, ntyp = 4
/
ATOMIC_SPECIES
Ag 107.87 Ag.upf
Cd 112.41 Cd.upf
Li 6.94 Li.upf
Zn 65.41 Zn.upf
ATOMIC_POSITIONS crystal
Ag 0.250 0.127 0.953
Ag 0.250 0.629 0.463
Cd 0.250 0.125 0.634
Li 0.750 0.860 0.715
Ag 0.750 0.371 0.537
Zn 0.750 0.385 0.886
Li 0.250 0.140 0.285
Ag 0.750 0.873 0.047
Cd 0.750 0.875 0.366
Ag 0.750 0.377 0.204
Ag 0.250 0.623 0.796
Zn 0.250 0.615 0.114
CELL_PARAMETERS angstrom
-2.397 2.649 -1.438
-0.642 -3.574 -5.515
-5.989 -1.861 6.554
```

Summary:
* energy of formation: -0.1122 eV/atom
* D(E_F): 0.33 states/eV/atom

***

# 4
VASP calculation (PBE-GGA) on an optimized crystal structure of Li3Zn3CdAg2. Values from VASP.

```
&SYSTEM
  ibrav = 0, nat = 9, ntyp = 4
/
ATOMIC_SPECIES
Zn 65.41 Zn.upf
Li 6.94 Li.upf
Ag 107.87 Ag.upf
Cd 112.41 Cd.upf
ATOMIC_POSITIONS crystal
Zn 0.000 0.636 0.636
Zn 0.000 0.364 0.000
Li 0.500 0.315 0.315
Li 0.500 0.685 0.000
Ag 0.500 0.333 0.667
Ag 0.500 0.667 0.333
Cd 0.000 0.000 0.000
Zn 0.000 0.000 0.364
Li 0.500 0.000 0.685
CELL_PARAMETERS angstrom
2.840 0.000 0.000
0.000 7.725 0.000
0.000 -3.862 6.690
```

Summary:
* energy of formation: -0.1509 eV/atom
* D(E_F): 0.17 states/eV/atom

***

# 5
VASP calculation (PBE-GGA) on an optimized crystal structure of Li3ZnCd2Ag3. Values from VASP.

```
&SYSTEM
  ibrav = 0, nat = 9, ntyp = 4
/
ATOMIC_SPECIES
Ag 107.87 Ag.upf
Li 6.94 Li.upf
Zn 65.41 Zn.upf
Cd 112.41 Cd.upf
ATOMIC_POSITIONS crystal
Ag 0.500 0.713 0.000
Li 0.000 0.640 0.640
Zn 0.000 0.000 0.000
Li 0.000 0.360 0.000
Cd 0.500 0.333 0.667
Cd 0.500 0.667 0.333
Ag 0.500 0.000 0.713
Ag 0.500 0.287 0.287
Li 0.000 0.000 0.360
CELL_PARAMETERS angstrom
2.954 0.000 0.000
0.000 7.916 0.000
0.000 -3.958 6.855
```

Summary:
* energy of formation: -0.1771 eV/atom
* D(E_F): 0.35 states/eV/atom

***

# 6
VASP calculation (PBE-GGA) on an optimized crystal structure of LiZn2Cd2Ag5. Values from VASP.

```
&SYSTEM
  ibrav = 0, nat = 20, ntyp = 4
/
ATOMIC_SPECIES
Zn 65.41 Zn.upf
Cd 112.41 Cd.upf
Ag 107.87 Ag.upf
Li 6.94 Li.upf
ATOMIC_POSITIONS crystal
Zn 0.000 0.623 0.877
Cd 0.000 0.326 0.826
Ag 0.500 0.000 0.500
Ag 0.500 0.419 0.304
Ag 0.500 0.500 0.000
Ag 0.500 0.804 0.919
Li 0.000 0.500 0.500
Ag 0.500 0.081 0.804
Cd 0.000 0.674 0.174
Cd 0.000 0.174 0.326
Cd 0.000 0.826 0.674
Zn 0.000 0.377 0.123
Ag 0.500 0.304 0.581
Zn 0.000 0.877 0.377
Li 0.000 0.000 0.000
Zn 0.000 0.123 0.623
Ag 0.500 0.696 0.419
Ag 0.500 0.581 0.696
Ag 0.500 0.919 0.196
Ag 0.500 0.196 0.081
CELL_PARAMETERS angstrom
4.266 0.000 0.000
0.000 9.323 0.000
0.000 0.000 9.323
```

Summary:
* energy of formation: -0.0365 eV/atom
* D(E_F): 0.39 states/eV/atom

***

# 7
VASP calculation (PBE-GGA) on an optimized crystal structure of Li2ZnCd2Ag5. Values from VASP.

```
&SYSTEM
  ibrav = 0, nat = 20, ntyp = 4
/
ATOMIC_SPECIES
Ag 107.87 Ag.upf
Li 6.94 Li.upf
Zn 65.41 Zn.upf
Cd 112.41 Cd.upf
ATOMIC_POSITIONS crystal
Ag 0.500 0.500 0.000
Ag 0.500 0.413 0.307
Li 0.000 0.626 0.874
Zn 0.000 0.000 0.000
Cd 0.000 0.332 0.832
Ag 0.500 0.807 0.913
Li 0.000 0.374 0.126
Ag 0.500 0.087 0.807
Li 0.000 0.126 0.626
Ag 0.500 0.693 0.413
Ag 0.500 0.587 0.693
Li 0.000 0.874 0.374
Ag 0.500 0.307 0.587
Ag 0.500 0.000 0.500
Cd 0.000 0.832 0.668
Ag 0.500 0.913 0.193
Ag 0.500 0.193 0.087
Cd 0.000 0.168 0.332
Cd 0.000 0.668 0.168
Zn 0.000 0.500 0.500
CELL_PARAMETERS angstrom
3.937 0.000 0.000
0.000 9.482 0.000
0.000 0.000 9.482
```

Summary:
* energy of formation: -0.0558 eV/atom
* D(E_F): 0.31 states/eV/atom

***

# 8
VASP calculation (PBE-GGA) on an optimized crystal structure of Li2Zn2CdAg5. Values from VASP.

```
&SYSTEM
  ibrav = 0, nat = 20, ntyp = 4
/
ATOMIC_SPECIES
Cd 112.41 Cd.upf
Zn 65.41 Zn.upf
Ag 107.87 Ag.upf
Li 6.94 Li.upf
ATOMIC_POSITIONS crystal
Cd 0.000 0.000 0.000
Zn 0.000 0.376 0.124
Ag 0.500 0.917 0.200
Ag 0.500 0.200 0.083
Ag 0.500 0.700 0.417
Zn 0.000 0.624 0.876
Li 0.000 0.828 0.672
Ag 0.500 0.417 0.300
Li 0.000 0.672 0.172
Ag 0.500 0.000 0.500
Zn 0.000 0.124 0.624
Ag 0.500 0.500 0.000
Li 0.000 0.328 0.828
Li 0.000 0.172 0.328
Zn 0.000 0.876 0.376
Ag 0.500 0.583 0.700
Ag 0.500 0.800 0.917
Ag 0.500 0.300 0.583
Cd 0.000 0.500 0.500
Ag 0.500 0.083 0.800
CELL_PARAMETERS angstrom
-1.185 -3.712 -1.553
8.630 -3.277 1.246
-2.315 -2.842 8.563
```

Summary:
* energy of formation: -0.0821 eV/atom
* D(E_F): 0.30 states/eV/atom

***

# 9
VASP calculation (PBE-GGA) on an optimized crystal structure of Li5ZnCd2Ag2. Values from VASP.

```
&SYSTEM
  ibrav = 0, nat = 20, ntyp = 4
/
ATOMIC_SPECIES
Li 6.94 Li.upf
Zn 65.41 Zn.upf
Ag 107.87 Ag.upf
Cd 112.41 Cd.upf
ATOMIC_POSITIONS crystal
Li 0.500 0.421 0.315
Zn 0.000 0.500 0.500
Ag 0.000 0.870 0.370
Cd 0.000 0.333 0.833
Ag 0.000 0.370 0.130
Li 0.500 0.685 0.421
Cd 0.000 0.667 0.167
Li 0.500 0.815 0.921
Li 0.500 0.315 0.579
Li 0.500 0.921 0.185
Zn 0.000 0.000 0.000
Li 0.500 0.079 0.815
Cd 0.000 0.167 0.333
Li 0.500 0.185 0.079
Li 0.500 0.500 0.000
Cd 0.000 0.833 0.667
Li 0.500 0.000 0.500
Ag 0.000 0.630 0.870
Li 0.500 0.579 0.685
Ag 0.000 0.130 0.630
CELL_PARAMETERS angstrom
3.517 0.000 0.000
0.000 10.107 0.000
0.000 0.000 10.107
```

Summary:
* energy of formation: -0.1243 eV/atom
* D(E_F): 0.29 states/eV/atom

***

# 10
VASP calculation (PBE-GGA) on an optimized crystal structure of LiZnCdAg2. Values from VASP.

```
&SYSTEM
  ibrav = 0, nat = 10, ntyp = 4
/
ATOMIC_SPECIES
Cd 112.41 Cd.upf
Zn 65.41 Zn.upf
Ag 107.87 Ag.upf
Li 6.94 Li.upf
ATOMIC_POSITIONS crystal
Cd 0.750 0.433 0.300
Zn 0.250 0.958 0.907
Ag 0.250 0.330 0.102
Ag 0.750 0.838 0.486
Li 0.750 0.238 0.705
Ag 0.750 0.670 0.898
Li 0.250 0.762 0.295
Cd 0.250 0.567 0.700
Zn 0.750 0.042 0.093
Ag 0.250 0.162 0.514
CELL_PARAMETERS angstrom
4.693 0.000 0.000
0.000 5.047 0.959
0.000 1.148 7.511
```

Summary:
* energy of formation: -0.1412 eV/atom
* D(E_F): 0.28 states/eV/atom

***

# 11
VASP calculation (PBE-GGA) on an optimized crystal structure of LiZnCd2Ag. Values from VASP.

```
&SYSTEM
  ibrav = 0, nat = 10, ntyp = 4
/
ATOMIC_SPECIES
Cd 112.41 Cd.upf
Li 6.94 Li.upf
Zn 65.41 Zn.upf
Ag 107.87 Ag.upf
ATOMIC_POSITIONS crystal
Cd 0.184 0.368 0.591
Li 0.147 0.294 0.250
Cd 0.184 0.368 0.909
Cd 0.816 0.632 0.409
Zn 0.000 0.000 0.000
Ag 0.526 0.053 0.750
Li 0.853 0.706 0.750
Ag 0.474 0.947 0.250
Zn 0.000 0.000 0.500
Cd 0.816 0.632 0.091
CELL_PARAMETERS angstrom
2.934 0.000 0.000
-1.467 7.291 0.000
0.000 0.000 9.139
```

Summary:
* energy of formation: -0.0675 eV/atom
* D(E_F): 0.26 states/eV/atom

***

# 12
VASP calculation (PBE-GGA) on an optimized crystal structure of LiZrCdAg. Values from VASP.

```
&SYSTEM
  ibrav = 0, nat = 4, ntyp = 4
/
ATOMIC_SPECIES
Zr 91.22 Zr.upf
Cd 112.41 Cd.upf
Li 6.94 Li.upf
Ag 107.87 Ag.upf
ATOMIC_POSITIONS crystal
Zr 0.500 0.500 0.500
Cd 0.750 0.750 0.750
Li 0.000 0.000 0.000
Ag 0.250 0.250 0.250
CELL_PARAMETERS angstrom
-1.835 -0.401 -4.396
-4.605 -1.148 -0.572
-3.097 3.269 -1.605
```

Summary:
* energy of formation: -0.0559 eV/atom
* D(E_F): 0.75 states/eV/atom

***

# 13
VASP calculation (PBE-GGA) on an optimized crystal structure of LuCdAg4. Values from VASP.

```
&SYSTEM
  ibrav = 0, nat = 6, ntyp = 3
/
ATOMIC_SPECIES
Ag 107.87 Ag.upf
Cd 112.41 Cd.upf
Lu 174.97 Lu.upf
ATOMIC_POSITIONS crystal
Ag 0.625 0.625 0.625
Ag 0.125 0.625 0.625
Cd 0.000 0.000 0.000
Ag 0.625 0.625 0.125
Ag 0.625 0.125 0.625
Lu 0.250 0.250 0.250
CELL_PARAMETERS angstrom
5.549 0.000 0.000
2.775 4.806 0.000
2.775 1.602 4.531
```

Summary:
* energy of formation: -0.1509 eV/atom
* D(E_F): 0.99 states/eV/atom

***

# 14
VASP calculation (PBE-GGA) on an optimized crystal structure of LuCdNiAg. Values from VASP.

```
&SYSTEM
  ibrav = 0, nat = 4, ntyp = 4
/
ATOMIC_SPECIES
Cd 112.41 Cd.upf
Ni 58.69 Ni.upf
Ag 107.87 Ag.upf
Lu 174.97 Lu.upf
ATOMIC_POSITIONS crystal
Cd 0.750 0.750 0.750
Ni 0.500 0.500 0.500
Ag 0.000 0.000 0.000
Lu 0.250 0.250 0.250
CELL_PARAMETERS angstrom
-3.882 -1.438 -2.281
-0.588 -4.580 -1.010
-3.284 -2.520 2.281
```

Summary:
* energy of formation: -0.2223 eV/atom
* D(E_F): 0.62 states/eV/atom

***

# 15
VASP calculation (PBE-GGA) on an optimized crystal structure of PmLuCdAg. Values from VASP.

```
&SYSTEM
  ibrav = 0, nat = 4, ntyp = 4
/
ATOMIC_SPECIES
Cd 112.41 Cd.upf
Pm 145.00 Pm.upf
Lu 174.97 Lu.upf
Ag 107.87 Ag.upf
ATOMIC_POSITIONS crystal
Cd 0.750 0.750 0.750
Pm 0.500 0.500 0.500
Lu 0.000 0.000 0.000
Ag 0.250 0.250 0.250
CELL_PARAMETERS angstrom
-2.055 3.910 -2.814
-3.712 3.054 2.079
1.088 4.971 1.238
```

Summary:
* energy of formation: -0.2887 eV/atom
* D(E_F): 0.90 states/eV/atom

***

# 16
VASP calculation (PBE-GGA) on an optimized crystal structure of LuPuCdAg. Values from VASP.

```
&SYSTEM
  ibrav = 0, nat = 4, ntyp = 4
/
ATOMIC_SPECIES
Pu 244.00 Pu.upf
Ag 107.87 Ag.upf
Cd 112.41 Cd.upf
Lu 174.97 Lu.upf
ATOMIC_POSITIONS crystal
Pu 0.250 0.250 0.250
Ag 0.500 0.500 0.500
Cd 0.000 0.000 0.000
Lu 0.750 0.750 0.750
CELL_PARAMETERS angstrom
5.212 0.000 0.000
2.606 4.514 0.000
2.606 1.505 4.256
```

Summary:
* energy of formation: -0.0617 eV/atom
* D(E_F): 2.50 states/eV/atom

***

# 17
VASP calculation (PBE-GGA) on an optimized crystal structure of LuCdAgRu. Values from VASP.

```
&SYSTEM
  ibrav = 0, nat = 4, ntyp = 4
/
ATOMIC_SPECIES
Lu 174.97 Lu.upf
Ru 101.07 Ru.upf
Ag 107.87 Ag.upf
Cd 112.41 Cd.upf
ATOMIC_POSITIONS crystal
Lu 0.250 0.250 0.250
Ru 0.000 0.000 0.000
Ag 0.500 0.500 0.500
Cd 0.750 0.750 0.750
CELL_PARAMETERS angstrom
-0.687 -4.549 1.186
1.954 -3.456 -2.609
3.591 -2.565 1.761
```

Summary:
* energy of formation: -0.1191 eV/atom
* D(E_F): 0.31 states/eV/atom

***

# 18
VASP calculation (PBE-GGA) on an optimized crystal structure of SmLuCdAg. Values from VASP.

```
&SYSTEM
  ibrav = 0, nat = 4, ntyp = 4
/
ATOMIC_SPECIES
Sm 150.36 Sm.upf
Cd 112.41 Cd.upf
Lu 174.97 Lu.upf
Ag 107.87 Ag.upf
ATOMIC_POSITIONS crystal
Sm 0.500 0.500 0.500
Cd 0.750 0.750 0.750
Lu 0.000 0.000 0.000
Ag 0.250 0.250 0.250
CELL_PARAMETERS angstrom
-1.265 3.592 -3.574
-5.017 1.151 -0.883
-1.924 4.616 1.504
```

Summary:
* energy of formation: -0.2915 eV/atom
* D(E_F): 0.98 states/eV/atom

***

# 19
VASP calculation (PBE-GGA) on an optimized crystal structure of LuCdAgSn. Values from VASP.

```
&SYSTEM
  ibrav = 0, nat = 4, ntyp = 4
/
ATOMIC_SPECIES
Sn 118.71 Sn.upf
Cd 112.41 Cd.upf
Ag 107.87 Ag.upf
Lu 174.97 Lu.upf
ATOMIC_POSITIONS crystal
Sn 0.000 0.000 0.000
Cd 0.750 0.750 0.750
Ag 0.500 0.500 0.500
Lu 0.250 0.250 0.250
CELL_PARAMETERS angstrom
-3.978 3.029 0.700
-4.602 -1.505 -1.430
-3.472 -1.156 3.478
```

Summary:
* energy of formation: -0.2394 eV/atom
* D(E_F): 0.12 states/eV/atom

***

# 20
VASP calculation (PBE-GGA) on an optimized crystal structure of TmLuCdAg. Values from VASP.

```
&SYSTEM
  ibrav = 0, nat = 4, ntyp = 4
/
ATOMIC_SPECIES
Tm 168.93 Tm.upf
Lu 174.97 Lu.upf
Cd 112.41 Cd.upf
Ag 107.87 Ag.upf
ATOMIC_POSITIONS crystal
Tm 0.000 0.000 0.000
Lu 0.500 0.500 0.500
Cd 0.750 0.750 0.750
Ag 0.250 0.250 0.250
CELL_PARAMETERS angstrom
5.135 0.000 0.000
2.567 4.447 0.000
2.567 1.482 4.193
```

Summary:
* energy of formation: -0.3097 eV/atom
* D(E_F): 0.81 states/eV/atom

***

# 21
VASP calculation (PBE-GGA) on an optimized crystal structure of YLuCdAg. Values from VASP.

```
&SYSTEM
  ibrav = 0, nat = 4, ntyp = 4
/
ATOMIC_SPECIES
Lu 174.97 Lu.upf
Y 88.91 Y.upf
Cd 112.41 Cd.upf
Ag 107.87 Ag.upf
ATOMIC_POSITIONS crystal
Lu 0.250 0.250 0.250
Y 0.750 0.750 0.750
Cd 0.000 0.000 0.000
Ag 0.500 0.500 0.500
CELL_PARAMETERS angstrom
5.176 0.000 0.000
2.588 4.483 0.000
2.588 1.494 4.226
```

Summary:
* energy of formation: -0.3156 eV/atom
* D(E_F): 1.02 states/eV/atom

***

# 22
VASP calculation (PBE-GGA) on an optimized crystal structure of LuZnCdAg. Values from VASP.

```
&SYSTEM
  ibrav = 0, nat = 4, ntyp = 4
/
ATOMIC_SPECIES
Ag 107.87 Ag.upf
Cd 112.41 Cd.upf
Zn 65.41 Zn.upf
Lu 174.97 Lu.upf
ATOMIC_POSITIONS crystal
Ag 0.500 0.500 0.500
Cd 0.250 0.250 0.250
Zn 0.000 0.000 0.000
Lu 0.750 0.750 0.750
CELL_PARAMETERS angstrom
-4.146 0.974 2.257
-1.006 -2.116 4.213
0.019 2.592 4.064
```

Summary:
* energy of formation: -0.2654 eV/atom
* D(E_F): 0.44 states/eV/atom

***

# 23
VASP calculation (PBE-GGA) on an optimized crystal structure of LuZrCdAg. Values from VASP.

```
&SYSTEM
  ibrav = 0, nat = 4, ntyp = 4
/
ATOMIC_SPECIES
Lu 174.97 Lu.upf
Ag 107.87 Ag.upf
Cd 112.41 Cd.upf
Zr 91.22 Zr.upf
ATOMIC_POSITIONS crystal
Lu 0.750 0.750 0.750
Ag 0.000 0.000 0.000
Cd 0.500 0.500 0.500
Zr 0.250 0.250 0.250
CELL_PARAMETERS angstrom
5.023 0.000 0.000
2.512 4.350 0.000
2.512 1.450 4.102
```

Summary:
* energy of formation: -0.1140 eV/atom
* D(E_F): 1.27 states/eV/atom